Density functional theory data (SCAN) for a crystal of SrSn2Sb2 relaxed with PBEsol.

Geometry as extended XYZ:
```
5
Lattice="-2.220 2.220 7.759 2.220 -2.220 7.759 2.220 2.220 -7.759" Properties=species:S:1:pos:R:3 pbc="T T T"
Sr 0.000 0.000 0.000
Sn 2.220 0.000 3.880
Sn 0.000 2.220 3.880
Sb 0.000 0.000 6.307
Sb 0.000 0.000 9.212
```

**Symmetry**: I4/mmm, No. 139
**Total DFT energy (no corrections)**: -34.011 eV per atom
**Energy relative to the elements, uncorrected**: -0.284 eV per atom